PrTm2Mg2 | PBE-GGA | optimized geometry

The calculated density comes out at 5.52 Mg/m³. As for the total moment: 0.0 Bohr magnetons per cell. As for the total energy: -3.10 eV per atom. The calculated formation energy is 0.279 eV per atom. The value obtained for the energy above the most stable polymorph in this dataset is 0.3337 eV/atom.

The structure belongs to space group I4/mmm (No. 139); the cell edges are 4.910, 4.910 and 26.320 Å and the angles 90.00°, 90.00° and 90.00°. The asymmetric unit holds Pr at (0.000, 0.000, 0.132), Tm at (0.000, 0.000, 0.428), Tm at (0.000, 0.500, 0.250), Mg at (0.000, 0.000, 0.320) and Mg at (0.000, 0.500, 0.000).